First-principles (PBE-GGA) data for a geometry-optimized SbRu2SCl structure, as listed in the Alexandria database.

a b c (Å): 5.049 4.988 5.049
angles (deg): 90.00 90.00 90.00
Each line ends with the local moment (μB).
Positions (direct):
1 Ru 0.500 0.000 0.000  1.72
2 Ru 0.000 0.000 0.500  1.75
3 Cl 0.000 0.500 0.000  0.02
4 Sb 0.000 0.000 0.000  -0.07
5 S 0.500 0.500 0.500  0.20

Calculated values
For the total magnetization, the calculation gives 3.98 μB per formula unit. Its uncorrected energy is -4.29 eV/atom. The space group is P4/mmm.